Compound: ZrCd2Ni
Source: Alexandria via LeMat-Bulk
Functional: GGA-PBE
Structure: optimized geometry

Results
volume: 73.83 Å³/f.u.
total magnetization: 0.0000 μB per atom
total DFT energy (no corrections): -3.993 eV per atom
density: 8.43 g/cm3

Structure (CIF):
```
data_ZrCd2Ni
_chemical_formula_sum 'Zr4 Cd8 Ni4'
_symmetry_space_group_name_H-M 'F m -3 m'
_symmetry_Int_Tables_number 225
_symmetry_space_group_name_Hall '-F 4 2 3'
_cell_length_a 6.659
_cell_length_b 6.659
_cell_length_c 6.659
_cell_angle_alpha 90.00
_cell_angle_beta 90.00
_cell_angle_gamma 90.00
loop_
_atom_site_label
_atom_site_type_symbol
_atom_site_fract_x
_atom_site_fract_y
_atom_site_fract_z
_atom_site_occupancy
Zr1 Zr 0.000 0.000 0.000 1
Cd1 Cd 0.250 0.250 0.250 1
Ni1 Ni 0.000 0.000 0.500 1
```